The following is a GGA+U calculation of a geometry-optimized MnNbCo2O6 structure, from the Alexandria database.

- electronic total energy (eV/atom) = -7.387
- calculated density (g cm⁻³) = 5.5
- crystal system = trigonal
- space group = No. 146

Cell lengths 5.535, 5.535, 5.535 Å; angles 56.07, 56.07, 56.07 degrees
Element x y z (fractional)
1 Mn 0.000 0.000 0.000
2 Nb 0.505 0.505 0.505
3 Co 0.302 0.302 0.302
4 Co 0.782 0.782 0.782
5 O 0.107 0.667 0.402
6 O 0.218 0.556 0.904
7 O 0.402 0.107 0.667
8 O 0.556 0.904 0.218
9 O 0.667 0.402 0.107
10 O 0.904 0.218 0.556